Ca2BClO3 | meta-GGA SCAN | PBEsol geometry

a = 3.9135 Å, b = 8.6661 Å, c = 12.2363 Å
α = 90.00°, β = 97.71°, γ = 90.00°
Last column: nearest neighbours and their distance in Å.
Positions (direct):
Ca: 0.0523 0.8789 0.3832  5 O 2.30-2.41
Ca: 0.9477 0.1211 0.6168  5 O 2.30-2.41
Ca: 0.0659 0.3825 0.3617  4 O 2.27-2.39
Ca: 0.5523 0.6211 0.8832  5 O 2.30-2.41
Ca: 0.4341 0.8825 0.1383  4 O 2.27-2.39
Ca: 0.5659 0.1175 0.8617  4 O 2.27-2.39
Ca: 0.9341 0.6175 0.6383  4 O 2.27-2.39
Ca: 0.4477 0.3789 0.1168  5 O 2.30-2.41
B: 0.3651 0.8665 0.6559  3 O 1.38-1.39
B: 0.8651 0.6335 0.1559  3 O 1.38-1.39
B: 0.6349 0.1335 0.3441  3 O 1.38-1.39
B: 0.1349 0.3665 0.8441  3 O 1.38-1.39
Cl: 0.6092 0.6260 0.4125  5 Ca 2.85-3.08
Cl: 0.3908 0.3740 0.5875  5 Ca 2.85-3.08
Cl: 0.8908 0.1260 0.0875  5 Ca 2.85-3.08
Cl: 0.1092 0.8740 0.9125  5 Ca 2.85-3.08
O: 0.4902 0.0111 0.6885  1 B 1.38
O: 0.0098 0.5111 0.8115  1 B 1.38
O: 0.4811 0.7292 0.7052  1 B 1.38
O: 0.0861 0.8598 0.5725  1 B 1.39
O: 0.9902 0.4889 0.1885  1 B 1.38
O: 0.9811 0.7708 0.2052  1 B 1.38
O: 0.5098 0.9889 0.3115  1 B 1.38
O: 0.0189 0.2292 0.7948  1 B 1.38
O: 0.9139 0.1402 0.4275  1 B 1.39
O: 0.4139 0.3598 0.9275  1 B 1.39
O: 0.5861 0.6402 0.0725  1 B 1.39
O: 0.5189 0.2708 0.2948  1 B 1.38

Calculated values
Space-group type: P2_1/c (14)
Raw formation energy (meV per atom): -3088

=====

IrPt2 | meta-GGA SCAN | PBEsol geometry

a = 2.7655 Å, b = 3.8678 Å, c = 4.7510 Å
α = 114.02°, β = 106.92°, γ = 90.00°
Last column: nearest neighbours and their distance in Å.
Positions (direct):
Ir: 0.0000 0.0000 0.0000  10 Pt 2.74-2.75, 2 Ir 2.77
Pt: 0.3347 0.3347 0.6695  7 Pt 2.72-2.77, 5 Ir 2.74-2.75
Pt: 0.6653 0.6653 0.3305  7 Pt 2.72-2.77, 5 Ir 2.74-2.75

Calculated values
Space-group type: Immm (71)
Energy of formation from the pure elements (eV per atom): 0.123

=====

CrAgRu2 | meta-GGA SCAN | PBEsol geometry

a = 3.7577 Å, b = 3.7577 Å, c = 4.6934 Å
α = 113.60°, β = 113.60°, γ = 90.00°
Last column: nearest neighbours and their distance in Å.
Positions (direct):
Ag: 0.5000 0.5000 0.0000  8 Ru 2.66-2.70, 4 Cr 2.70
Cr: 0.2500 0.7500 0.5000  8 Ru 2.66-2.70, 4 Ag 2.70
Ru: 0.0000 0.0000 0.0000  4 Ag 2.66, 4 Cr 2.70, 4 Ru 2.70
Ru: 0.7500 0.2500 0.5000  4 Cr 2.66, 4 Ru 2.70, 4 Ag 2.70

Calculated values
Space-group type: I-4m2 (119)
Energy of formation from the pure elements (eV per atom): 0.435

=====

Ba3BiN | meta-GGA SCAN | PBEsol geometry

a = 5.5155 Å, b = 5.5155 Å, c = 5.5155 Å
α = 90.00°, β = 90.00°, γ = 90.00°
Last column: nearest neighbours and their distance in Å.
Positions (direct):
Ba: 0.0000 0.5000 0.0000  2 N 2.76
Ba: 0.0000 0.0000 0.5000  2 N 2.76
Ba: 0.5000 0.0000 0.0000  2 N 2.76
Bi: 0.5000 0.5000 0.5000  12 Ba 3.90
N: 0.0000 0.0000 0.0000  6 Ba 2.76

Calculated values
Space-group type: Pm-3m (221)
Raw formation energy (meV per atom): -876

=====

SrTlRh2 | meta-GGA SCAN | PBEsol geometry

a = 3.3996 Å, b = 3.3996 Å, c = 8.4628 Å
α = 78.41°, β = 78.41°, γ = 60.00°
Last column: nearest neighbours and their distance in Å.
Positions (direct):
Rh: 0.2572 0.2572 0.2283  3 Tl 2.72, 3 Sr 2.98
Rh: 0.7428 0.7428 0.7717  3 Tl 2.72, 3 Sr 2.98
Sr: 0.5000 0.5000 0.5000  6 Rh 2.98
Tl: 0.0000 0.0000 0.0000  6 Rh 2.72

Calculated values
Space-group type: R-3m (166)
Energy of formation from the pure elements (eV per atom): 0.302

=====

CaTiSiTe2 | meta-GGA SCAN | PBEsol geometry

a = 5.0975 Å, b = 5.3540 Å, c = 5.3540 Å
α = 90.00°, β = 90.00°, γ = 90.00°
Last column: nearest neighbours and their distance in Å.
Positions (direct):
Ca: 0.5000 0.0000 0.0000  2 Si 2.55
Te: 0.0000 0.0000 0.5000  2 Si 2.68
Te: 0.0000 0.5000 0.0000  2 Si 2.68
Si: 0.0000 0.0000 0.0000  2 Ca 2.55, 4 Te 2.68
Ti: 0.5000 0.5000 0.5000  8 Te 3.70, 4 Ca 3.79

Calculated values
Space-group type: P4/mmm (123)
Raw formation energy (meV per atom): 391

=====

Number 1: total moment 0.00 μB/f.u.. Number 2: total moment 0.00 μB/f.u.. Number 3: total moment 2.41 μB/f.u.. Number 4: total moment 0.00 μB/f.u.. Number 5: total moment 0.00 μB/f.u.. Number 6: total moment 2.53 μB/f.u..